Computed, not measured: CoHF3 after structural relaxation at the PBE with a Hubbard U level of DFT.

a b c (Å): 3.881 3.881 3.881
angles (deg): 90.00 90.00 90.00
Atoms (fractional coordinates):
Co (0.000, 0.000, 0.000)
H (0.500, 0.500, 0.500)
F (0.000, 0.000, 0.500)
F (0.000, 0.500, 0.000)
F (0.500, 0.000, 0.000)

Calculated values
size of the total moment = 4.66 μB per formula unit
calculated density = 3.3 g/cm3
crystal system = cubic
E_tot = -18.73 eV per formula unit